Material: BaIn2GaPd2
Method: DFT, PBE
State: relaxed

For the magnetization, the calculation gives 0.00 μB per formula unit. For the volume, the calculation gives 149.8 Å³/f.u. As for the space group: P4/mmm, No. 123. The density of states at the Fermi level is 2.9 states/eV per cell. The formation energy comes out at -0.5122 eV per atom. Its raw total energy is -3.981 eV per atom.

a = 4.830 Å, b = 4.830 Å, c = 6.423 Å
α = 90.00°, β = 90.00°, γ = 90.00°
Sites, in units of the cell vectors:
Ba1 0.000 0.000 0.000
In1 0.500 0.500 0.252
In2 0.500 0.500 0.748
Ga1 0.000 0.000 0.500
Pd1 0.000 0.500 0.500
Pd2 0.500 0.000 0.500



Material: Pr2Sb3Pt4Au
Method: DFT, PBE
State: relaxed

For the magnetization, the calculation gives 0.00 μB per formula unit. For the volume, the calculation gives 225.7 Å³/f.u. Its uncorrected formation energy is -0.7824 eV per atom. As for the space group: P-4m2, No. 115. The density of states at the Fermi level is 4.7 states/eV per cell. Its raw total energy is -5.719 eV per atom.

a = 4.619 Å, b = 4.619 Å, c = 10.578 Å
α = 90.00°, β = 90.00°, γ = 90.00°
Sites, in units of the cell vectors:
Pr1 0.000 0.500 0.245
Pr2 0.500 0.000 0.755
Sb1 0.000 0.500 0.871
Sb2 0.500 0.000 0.129
Sb3 0.500 0.500 0.500
Pt1 0.000 0.000 0.000
Pt2 0.000 0.500 0.629
Pt3 0.500 0.000 0.371
Pt4 0.500 0.500 0.000
Au1 0.000 0.000 0.500



Material: Ba2BiPd9
Method: DFT, PBE
State: relaxed

For the magnetization, the calculation gives 0.00 μB per formula unit. For the volume, the calculation gives 244.6 Å³/f.u. As for the space group: R-3m, No. 166. The density of states at the Fermi level is 11.0 states/eV per cell. The formation energy comes out at -0.2582 eV per atom. Its raw total energy is -4.797 eV per atom.

a = 9.895 Å, b = 9.895 Å, c = 9.895 Å
α = 32.21°, β = 32.21°, γ = 32.21°
Sites, in units of the cell vectors:
Ba1 0.138 0.138 0.138
Ba2 0.862 0.862 0.862
Bi1 0.000 0.000 0.000
Pd1 0.082 0.581 0.581
Pd2 0.333 0.333 0.333
Pd3 0.419 0.419 0.918
Pd4 0.419 0.918 0.419
Pd5 0.500 0.500 0.500
Pd6 0.581 0.082 0.581
Pd7 0.581 0.581 0.082
Pd8 0.667 0.667 0.667
Pd9 0.918 0.419 0.419



Material: TaCu2W
Method: DFT, PBE
State: relaxed

The calculation puts the offset from the most stable computed form at 137 meV per atom. For the magnetization, the calculation gives 0.00 μB per formula unit. For the volume, the calculation gives 58.9 Å³/f.u. As for the space group: Cm, No. 8. The density of states at the Fermi level is 2.5 states/eV per cell. The formation energy comes out at 0.2775 eV per atom. Its raw total energy is -7.972 eV per atom.

a = 4.763 Å, b = 4.763 Å, c = 4.875 Å
α = 99.55°, β = 99.55°, γ = 32.76°
Sites, in units of the cell vectors:
Ta1 0.000 0.000 0.000
Cu1 0.485 0.485 0.485
Cu2 0.751 0.751 0.237
W1 0.233 0.233 0.711



Material: MgMoBr
Method: DFT, PBE
State: relaxed

The calculation puts the offset from the most stable computed form at 0 meV per atom. For the magnetization, the calculation gives 0.00 μB per formula unit. For the volume, the calculation gives 59.9 Å³/f.u. Its uncorrected formation energy is 0.2577 eV per atom. As for the space group: P3m1, No. 156. The density of states at the Fermi level is 2.3 states/eV per cell. Its raw total energy is -4.442 eV per atom.

a = 3.197 Å, b = 3.197 Å, c = 6.764 Å
α = 90.00°, β = 90.00°, γ = 120.00°
Sites, in units of the cell vectors:
Mg1 0.000 0.000 0.000
Mo1 0.667 0.333 0.320
Br1 0.333 0.667 0.594



Material: La2TlFeN
Method: DFT, PBE
State: relaxed

For the magnetization, the calculation gives 0.90 μB per formula unit. For the volume, the calculation gives 110.3 Å³/f.u. Its uncorrected formation energy is -0.5479 eV per atom. As for the space group: P4/mmm, No. 123. The density of states at the Fermi level is 3.0 states/eV per cell. Its raw total energy is -6.350 eV per atom.

a = 5.475 Å, b = 5.475 Å, c = 3.681 Å
α = 90.00°, β = 90.00°, γ = 90.00°
Sites, in units of the cell vectors:
La1 0.000 0.500 0.000
La2 0.500 0.000 0.000
Tl1 0.000 0.000 0.500
Fe1 0.500 0.500 0.500
N1 0.500 0.500 0.000